No. 1
Density functional theory data (PBE) for a geometry-optimized Dy6Y3Ho2Mg structure.

E in Ry/atom: -0.351
Density in Mg/m³: 7.1
ΔE_f in eV per atom: 0.031
Density of states at the Fermi level in states/eV/atom: 1.41

abc: 6.1175 10.6013 11.6466
angles: 90.00 100.16 90.00
Closest atoms and distances in Å follow each position.
Space group C2/m (No. 12)
Inequivalent atoms, fractional coordinates:
Dy: 0.2482 0.0000 0.2480  2 Ho 3.49, 1 Mg 3.50, 6 Dy 3.53, 3 Y 3.53
Dy: 0.2483 0.3334 0.2470  1 Mg 3.49, 2 Ho 3.49, 6 Dy 3.53, 3 Y 3.55
Y: 0.0000 0.0000 0.5000  6 Y 3.53-3.54, 6 Dy 3.53-3.55
Y: 0.0000 0.3341 0.5000  6 Y 3.52-3.54, 6 Dy 3.53-3.55
Ho: 0.0000 0.1663 0.0000  6 Dy 3.49, 3 Ho 3.53-3.54, 3 Mg 3.53-3.54
Mg: 0.0000 0.5000 0.0000  6 Dy 3.49-3.50, 6 Ho 3.53-3.54


No. 2
Density functional theory data (PBE) for a geometry-optimized Mo3AsOs structure.

E in Ry/atom: -0.590
Density in Mg/m³: 8.5
ΔE_f in eV per atom: 1.644
Density of states at the Fermi level in states/eV/atom: 1.28

abc: 4.7578 4.7578 4.7578
angles: 90.00 90.00 90.00
Closest atoms and distances in Å follow each position.
Space group Pm-3m (No. 221)
Inequivalent atoms, fractional coordinates:
Mo: 0.0000 0.0000 0.5000  2 Os 2.38
As: 0.5000 0.5000 0.5000  12 Mo 3.36
Os: 0.0000 0.0000 0.0000  6 Mo 2.38


Question: What is the density of states at the Fermi level in the first record?
Answer: 1.41 states/eV/atom